(1)
This record from Alexandria describes Cs3Rb4Ag after structural relaxation. The functional is GGA-PBE.

Geometry as CIF:
```
data_Cs3Rb4Ag
_cell_length_a 7.912
_cell_length_b 11.365
_cell_length_c 15.309
_cell_angle_alpha 90.00
_cell_angle_beta 90.00
_cell_angle_gamma 90.00
_space_group_name_H-M_alt 'P 1'
_space_group_IT_number 1
loop_
_space_group_symop_operation_xyz
'x,y,z'
loop_
_atom_site_label
_atom_site_type_symbol
_atom_site_fract_x
_atom_site_fract_y
_atom_site_fract_z
_atom_site_occupancy
Cs1 Cs 0.565 0.212 0.000 1
Cs2 Cs 0.064 0.520 0.158 1
Cs3 Cs 0.564 0.480 0.342 1
Cs4 Cs 0.065 0.788 0.500 1
Cs5 Cs 0.564 0.480 0.658 1
Cs6 Cs 0.064 0.520 0.842 1
Ag1 Ag 0.065 0.244 0.000 1
Ag2 Ag 0.565 0.756 0.500 1
Rb1 Rb 0.064 0.914 0.000 1
Rb2 Rb 0.564 0.658 0.000 1
Rb3 Rb 0.065 0.126 0.240 1
Rb4 Rb 0.565 0.874 0.260 1
Rb5 Rb 0.064 0.342 0.500 1
Rb6 Rb 0.564 0.086 0.500 1
Rb7 Rb 0.565 0.874 0.740 1
Rb8 Rb 0.065 0.126 0.760 1
```

Space group   Pmn2_1 (31)
Total DFT energy (no corrections)   -1.1162 eV per atom
DFT formation energy   0.044 eV/atom
Crystal system   orthorhombic


(2)
This record from Alexandria describes Cs8RbAg2 after structural relaxation. The functional is GGA-PBE.

Geometry as CIF:
```
data_Cs8RbAg2
_cell_length_a 8.293
_cell_length_b 10.362
_cell_length_c 12.229
_cell_angle_alpha 115.07
_cell_angle_beta 87.21
_cell_angle_gamma 90.00
_space_group_name_H-M_alt 'P 1'
_space_group_IT_number 1
loop_
_space_group_symop_operation_xyz
'x,y,z'
loop_
_atom_site_label
_atom_site_type_symbol
_atom_site_fract_x
_atom_site_fract_y
_atom_site_fract_z
_atom_site_occupancy
Cs1 Cs 0.597 0.899 0.272 1
Cs2 Cs 0.403 0.627 0.728 1
Cs3 Cs 0.905 0.781 0.562 1
Cs4 Cs 0.095 0.219 0.438 1
Cs5 Cs 0.597 0.373 0.272 1
Cs6 Cs 0.403 0.101 0.728 1
Cs7 Cs 0.168 0.583 0.165 1
Cs8 Cs 0.832 0.417 0.835 1
Rb1 Rb 0.000 0.000 0.000 1
Ag1 Ag 0.390 0.733 0.465 1
Ag2 Ag 0.610 0.267 0.535 1
```

Space group   C2/m (12)
Total DFT energy (no corrections)   -1.1848 eV per atom
DFT formation energy   0.042 eV/atom
Crystal system   monoclinic


(3)
This record from Alexandria describes Cs2Rb5Ag after structural relaxation. The functional is GGA-PBE.

Geometry as CIF:
```
data_Cs2Rb5Ag
_cell_length_a 9.320
_cell_length_b 9.315
_cell_length_c 9.270
_cell_angle_alpha 67.07
_cell_angle_beta 67.03
_cell_angle_gamma 80.34
_space_group_name_H-M_alt 'P 1'
_space_group_IT_number 1
loop_
_space_group_symop_operation_xyz
'x,y,z'
loop_
_atom_site_label
_atom_site_type_symbol
_atom_site_fract_x
_atom_site_fract_y
_atom_site_fract_z
_atom_site_occupancy
Cs1 Cs 0.139 0.749 0.569 1
Cs2 Cs 0.749 0.140 0.570 1
Rb1 Rb 0.751 0.751 0.217 1
Rb2 Rb 0.742 0.336 0.954 1
Rb3 Rb 0.336 0.742 0.953 1
Rb4 Rb 0.211 0.211 0.004 1
Rb5 Rb 0.278 0.277 0.453 1
Ag1 Ag 0.018 0.018 0.834 1
```

Space group   P1 (1)
Total DFT energy (no corrections)   -1.1224 eV per atom
DFT formation energy   0.052 eV/atom
Crystal system   triclinic


(4)
This record from Alexandria describes Cs2RbAg2 after structural relaxation. The functional is GGA-PBE.

Geometry as CIF:
```
data_Cs2RbAg2
_cell_length_a 10.770
_cell_length_b 10.770
_cell_length_c 4.368
_cell_angle_alpha 90.00
_cell_angle_beta 90.00
_cell_angle_gamma 90.00
_space_group_name_H-M_alt 'P 1'
_space_group_IT_number 1
loop_
_space_group_symop_operation_xyz
'x,y,z'
loop_
_atom_site_label
_atom_site_type_symbol
_atom_site_fract_x
_atom_site_fract_y
_atom_site_fract_z
_atom_site_occupancy
Cs1 Cs 0.367 0.867 0.000 1
Cs2 Cs 0.867 0.633 0.000 1
Cs3 Cs 0.633 0.133 0.000 1
Cs4 Cs 0.133 0.367 0.000 1
Rb1 Rb 0.000 0.000 0.000 1
Rb2 Rb 0.500 0.500 0.000 1
Ag1 Ag 0.166 0.666 0.500 1
Ag2 Ag 0.666 0.834 0.500 1
Ag3 Ag 0.834 0.334 0.500 1
Ag4 Ag 0.334 0.166 0.500 1
```

Space group   P4/mbm (127)
Total DFT energy (no corrections)   -1.5750 eV per atom
E above lowest polymorph   61 meV per atom
DFT formation energy   0.100 eV/atom
Crystal system   tetragonal


(5)
This record from Alexandria describes Cs7Rb4Ag after structural relaxation. The functional is GGA-PBE.

Geometry as CIF:
```
data_Cs7Rb4Ag
_cell_length_a 7.568
_cell_length_b 9.248
_cell_length_c 18.678
_cell_angle_alpha 102.44
_cell_angle_beta 90.00
_cell_angle_gamma 114.15
_space_group_name_H-M_alt 'P 1'
_space_group_IT_number 1
loop_
_space_group_symop_operation_xyz
'x,y,z'
loop_
_atom_site_label
_atom_site_type_symbol
_atom_site_fract_x
_atom_site_fract_y
_atom_site_fract_z
_atom_site_occupancy
Cs1 Cs 0.222 0.444 0.090 1
Cs2 Cs 0.778 0.556 0.910 1
Cs3 Cs 0.411 0.822 0.357 1
Cs4 Cs 0.589 0.178 0.643 1
Cs5 Cs 0.139 0.277 0.451 1
Cs6 Cs 0.500 0.000 0.000 1
Cs7 Cs 0.861 0.723 0.549 1
Rb1 Rb 0.044 0.088 0.820 1
Rb2 Rb 0.956 0.912 0.180 1
Rb3 Rb 0.682 0.363 0.267 1
Rb4 Rb 0.318 0.637 0.733 1
Ag1 Ag 0.000 0.000 0.000 1
```

Space group   C2/m (12)
Total DFT energy (no corrections)   -1.0427 eV per atom
DFT formation energy   0.015 eV/atom
Crystal system   monoclinic


(6)
This record from Alexandria describes Cs3Rb3Ag after structural relaxation. The functional is GGA-PBE.

Geometry as CIF:
```
data_Cs3Rb3Ag
_cell_length_a 9.083
_cell_length_b 9.083
_cell_length_c 17.836
_cell_angle_alpha 75.25
_cell_angle_beta 75.25
_cell_angle_gamma 60.00
_space_group_name_H-M_alt 'P 1'
_space_group_IT_number 1
loop_
_space_group_symop_operation_xyz
'x,y,z'
loop_
_atom_site_label
_atom_site_type_symbol
_atom_site_fract_x
_atom_site_fract_y
_atom_site_fract_z
_atom_site_occupancy
Cs1 Cs 0.956 0.294 0.130 1
Cs2 Cs 0.620 0.956 0.130 1
Cs3 Cs 0.294 0.620 0.130 1
Cs4 Cs 0.706 0.380 0.870 1
Cs5 Cs 0.380 0.044 0.870 1
Cs6 Cs 0.044 0.706 0.870 1
Rb1 Rb 0.207 0.873 0.383 1
Rb2 Rb 0.538 0.207 0.383 1
Rb3 Rb 0.873 0.538 0.383 1
Rb4 Rb 0.127 0.462 0.617 1
Rb5 Rb 0.462 0.793 0.617 1
Rb6 Rb 0.793 0.127 0.617 1
Ag1 Ag 0.667 0.667 0.000 1
Ag2 Ag 0.333 0.333 0.000 1
```

Space group   R-3 (148)
Total DFT energy (no corrections)   -1.1628 eV per atom
DFT formation energy   0.025 eV/atom
Crystal system   trigonal